Below is a geometry-optimized CdNi2MoO6 structure, with properties calculated at the PBE with a Hubbard U level.

Output
As for the total moment: 4.1 μB per formula unit. The calculation puts the calculated total energy at -5.135 eV/atom.

Cell lengths 5.2997, 5.2997, 5.3198 Å; angles 90.00, 90.00, 90.00 degrees
With the nearest neighbours (Å) after each atom.
Space group P4mm (No. 99)
Symmetry-distinct sites (fractional):
Cd 0.0000 0.0000 0.0000 [1 per cell]  1 O 2.04
Ni 0.0000 0.5000 0.4089 [2 per cell]  4 O 2.06
Mo 0.5000 0.5000 0.1177 [1 per cell]  5 O 1.75-1.92
O 0.0000 0.0000 0.6171 [1 per cell]  1 Cd 2.04
O 0.2608 0.2608 0.2465 [4 per cell]  1 Mo 1.92, 2 Ni 2.06
O 0.5000 0.5000 0.7895 [1 per cell]  1 Mo 1.75